# 1
The following is a DFT calculation (PBE-GGA) of a relaxed MnCoOs4 crystal.

Cell lengths 5.096, 5.096, 5.096 Å; angles 60.00, 60.00, 60.00 degrees
Element x y z (fractional)
Mn 0.000 0.000 0.000
Co 0.750 0.750 0.750
Os 0.875 0.375 0.375
Os 0.375 0.375 0.875
Os 0.375 0.875 0.375
Os 0.375 0.375 0.375

Output
Energy of formation: 0.781 eV per atom
Space-group type: F-43m

***

# 2
The following is a DFT calculation (PBE-GGA) of a relaxed LiTm2Sc crystal.

Cell lengths 3.337, 3.337, 11.863 Å; angles 81.91, 81.91, 60.00 degrees
Element x y z (fractional)
Sc 0.500 0.500 0.500
Tm 0.091 0.091 0.727
Tm 0.909 0.909 0.273
Li 0.000 0.000 0.000

Output
Energy of formation: 0.171 eV per atom
Space-group type: R-3m
Offset from the most stable computed form: 82 meV per atom

***

# 3
The following is a DFT calculation (PBE-GGA) of a relaxed In2GaBr2 crystal.

Cell lengths 7.775, 7.775, 4.901 Å; angles 90.00, 90.00, 90.00 degrees
Element x y z (fractional)
Ga 0.000 0.000 0.000
Ga 0.500 0.500 0.000
Br 0.180 0.680 0.500
Br 0.680 0.820 0.500
Br 0.820 0.320 0.500
Br 0.320 0.180 0.500
In 0.350 0.850 0.000
In 0.850 0.650 0.000
In 0.650 0.150 0.000
In 0.150 0.350 0.000

Output
ΔE_f (raw): -0.321 eV per atom
Space-group type: P4/mbm
Offset from the most stable computed form: 130 meV per atom

***

# 4
The following is a DFT calculation (PBE-GGA) of a relaxed CaCe2Sb3 crystal.

Cell lengths 4.529, 6.361, 7.815 Å; angles 114.01, 106.84, 90.00 degrees
Element x y z (fractional)
Ca 0.000 0.500 0.000
Ce 0.665 0.165 0.330
Ce 0.335 0.835 0.670
Sb 0.327 0.327 0.654
Sb 0.000 0.000 0.000
Sb 0.673 0.673 0.346

Output
ΔE_f (raw): -1.009 eV per atom
Space-group type: Immm
Offset from the most stable computed form: 0 meV per atom

***

# 5
The following is a DFT calculation (PBE-GGA) of a relaxed Ho4SbS3 crystal.

Cell lengths 3.908, 3.908, 13.882 Å; angles 90.00, 90.00, 120.00 degrees
Element x y z (fractional)
Sb 0.000 0.000 0.000
S 0.000 0.000 0.500
S 0.000 0.000 0.263
S 0.000 0.000 0.737
Ho 0.333 0.667 0.855
Ho 0.333 0.667 0.378
Ho 0.667 0.333 0.145
Ho 0.667 0.333 0.622

Output
ΔE_f (raw): -1.647 eV per atom
Space-group type: P-3m1

***

# 6
The following is a DFT calculation (PBE-GGA) of a relaxed Ba2Na2Cu crystal.

Cell lengths 8.610, 8.610, 6.379 Å; angles 90.00, 90.00, 90.00 degrees
Element x y z (fractional)
Na 0.144 0.644 0.500
Na 0.644 0.856 0.500
Na 0.856 0.356 0.500
Na 0.356 0.144 0.500
Ba 0.327 0.827 0.000
Ba 0.827 0.673 0.000
Ba 0.673 0.173 0.000
Ba 0.173 0.327 0.000
Cu 0.000 0.000 0.000
Cu 0.500 0.500 0.000

Output
Energy of formation: 0.215 eV per atom
Space-group type: P4/mbm
Offset from the most stable computed form: 0 meV per atom

***

# 7
The following is a DFT calculation (PBE-GGA) of a relaxed NpVRu crystal.

Cell lengths 2.678, 4.425, 7.926 Å; angles 90.00, 90.00, 90.00 degrees
Element x y z (fractional)
V 0.500 0.000 0.777
V 0.000 0.500 0.223
Np 0.000 0.000 0.419
Np 0.500 0.500 0.581
Ru 0.500 0.500 0.938
Ru 0.000 0.000 0.062

Output
Energy of formation: 0.297 eV per atom
Space-group type: Pmmn
Offset from the most stable computed form: 242 meV per atom

***

# 8
The following is a DFT calculation (PBE-GGA) of a relaxed Ac2PmIn3Te6 crystal.

Cell lengths 8.122, 8.122, 8.545 Å; angles 99.12, 99.12, 119.94 degrees
Element x y z (fractional)
Ac 0.334 0.666 0.000
Ac 0.666 0.334 0.000
Pm 0.000 0.000 0.000
In 0.168 0.832 0.500
In 0.832 0.168 0.500
In 0.500 0.500 0.500
Te 0.924 0.604 0.771
Te 0.757 0.757 0.233
Te 0.076 0.396 0.229
Te 0.604 0.924 0.771
Te 0.243 0.243 0.767
Te 0.396 0.076 0.229

Output
ΔE_f (raw): -1.028 eV per atom
Space-group type: C2/m

***

# 9
The following is a DFT calculation (PBE-GGA) of a relaxed AcInHgBi crystal.

Cell lengths 5.650, 5.650, 5.650 Å; angles 60.00, 60.00, 60.00 degrees
Element x y z (fractional)
Ac 0.750 0.750 0.750
In 0.250 0.250 0.250
Bi 0.500 0.500 0.500
Hg 0.000 0.000 0.000

Output
Energy of formation: -0.383 eV per atom
Space-group type: F-43m
Offset from the most stable computed form: 96 meV per atom

***

# 10
The following is a DFT calculation (PBE-GGA) of a relaxed Cd3AuI crystal.

Cell lengths 5.406, 5.406, 5.406 Å; angles 90.00, 90.00, 90.00 degrees
Element x y z (fractional)
I 0.500 0.500 0.500
Au 0.000 0.000 0.000
Cd 0.000 0.500 0.000
Cd 0.000 0.000 0.500
Cd 0.500 0.000 0.000

Output
ΔE_f (raw): -0.095 eV per atom
Space-group type: Pm-3m
Offset from the most stable computed form: 0 meV per atom

***

# 11
The following is a DFT calculation (PBE-GGA) of a relaxed NbIn2AgIr crystal.

Cell lengths 4.975, 5.081, 4.975 Å; angles 90.00, 90.00, 90.00 degrees
Element x y z (fractional)
Nb 0.500 0.500 0.500
Ir 0.000 0.000 0.000
Ag 0.000 0.500 0.000
In 0.000 0.000 0.500
In 0.500 0.000 0.000

Output
Energy of formation: 1.039 eV per atom
Space-group type: P4/mmm
Offset from the most stable computed form: 0 meV per atom

***

# 12
The following is a DFT calculation (PBE-GGA) of a relaxed NaCd3Ag6 crystal.

Cell lengths 5.931, 8.418, 8.418 Å; angles 98.35, 90.00, 90.00 degrees
Element x y z (fractional)
Na 0.992 0.203 0.797
Na 0.492 0.797 0.203
Cd 0.519 0.840 0.733
Cd 0.019 0.733 0.840
Cd 0.234 0.414 0.586
Cd 0.734 0.586 0.414
Cd 0.019 0.160 0.267
Cd 0.519 0.267 0.160
Ag 0.172 0.736 0.516
Ag 0.672 0.516 0.736
Ag 0.306 0.497 0.949
Ag 0.806 0.949 0.497
Ag 0.261 0.002 0.998
Ag 0.505 0.201 0.799
Ag 0.005 0.799 0.201
Ag 0.761 0.998 0.002
Ag 0.306 0.051 0.503
Ag 0.806 0.503 0.051
Ag 0.172 0.484 0.264
Ag 0.672 0.264 0.484

Output
Energy of formation: 0.019 eV per atom
Space-group type: Cmc2_1
Offset from the most stable computed form: 48 meV per atom

***

# 13
The following is a DFT calculation (PBE-GGA) of a relaxed Mn3Tl4Cl10 crystal.

Cell lengths 5.064, 5.064, 18.404 Å; angles 97.91, 97.91, 90.00 degrees
Element x y z (fractional)
Mn 0.142 0.142 0.284
Mn 0.858 0.858 0.716
Mn 0.000 0.000 0.000
Tl 0.568 0.568 0.136
Tl 0.432 0.432 0.864
Tl 0.300 0.300 0.599
Tl 0.700 0.700 0.401
Cl 0.139 0.639 0.277
Cl 0.070 0.070 0.140
Cl 0.639 0.139 0.277
Cl 0.861 0.361 0.723
Cl 0.361 0.861 0.723
Cl 0.930 0.930 0.860
Cl 0.210 0.210 0.420
Cl 0.790 0.790 0.580
Cl 0.000 0.500 0.000
Cl 0.500 0.000 0.000

Output
ΔE_f (raw): -1.046 eV per atom
Space-group type: I4/mmm

***

# 14
The following is a DFT calculation (PBE-GGA) of a relaxed UInGa2 crystal.

Cell lengths 4.196, 4.500, 4.500 Å; angles 90.00, 90.00, 90.00 degrees
Element x y z (fractional)
U 0.500 0.500 0.500
Ga 0.000 0.000 0.500
Ga 0.000 0.500 0.000
In 0.500 0.000 0.000

Output
Energy of formation: -0.127 eV per atom
Space-group type: P4/mmm
Offset from the most stable computed form: 0 meV per atom

***

# 15
The following is a DFT calculation (PBE-GGA) of a relaxed Ca3BePd crystal.

Cell lengths 5.494, 5.494, 5.494 Å; angles 90.00, 90.00, 90.00 degrees
Element x y z (fractional)
Be 0.500 0.500 0.500
Ca 0.000 0.500 0.000
Ca 0.000 0.000 0.500
Ca 0.500 0.000 0.000
Pd 0.000 0.000 0.000

Output
Energy of formation: 0.170 eV per atom
Space-group type: Pm-3m
Offset from the most stable computed form: 0 meV per atom

***

# 16
The following is a DFT calculation (PBE-GGA) of a relaxed ErScHgPb crystal.

Cell lengths 5.192, 5.192, 5.192 Å; angles 60.00, 60.00, 60.00 degrees
Element x y z (fractional)
Pb 0.000 0.000 0.000
Sc 0.750 0.750 0.750
Hg 0.500 0.500 0.500
Er 0.250 0.250 0.250

Output
Energy of formation: -0.384 eV per atom
Space-group type: F-43m

***

# 17
The following is a DFT calculation (PBE-GGA) of a relaxed DyNiAg crystal.

Cell lengths 3.824, 3.667, 8.476 Å; angles 102.49, 90.00, 90.00 degrees
Element x y z (fractional)
Dy 0.250 0.899 0.799
Dy 0.750 0.101 0.201
Ni 0.250 0.541 0.083
Ni 0.750 0.459 0.917
Ag 0.750 0.292 0.584
Ag 0.250 0.708 0.416

Output
Energy of formation: -0.389 eV per atom
Space-group type: Cmcm
Offset from the most stable computed form: 0 meV per atom

***

# 18
The following is a DFT calculation (PBE-GGA) of a relaxed NbTePbI2 crystal.

Cell lengths 5.667, 5.667, 5.543 Å; angles 90.00, 90.00, 90.00 degrees
Element x y z (fractional)
Pb 0.500 0.500 0.500
I 0.000 0.500 0.000
I 0.500 0.000 0.000
Nb 0.000 0.000 0.000
Te 0.000 0.000 0.500

Output
ΔE_f (raw): 0.129 eV per atom
Space-group type: P4/mmm
Offset from the most stable computed form: 0 meV per atom

***

# 19
The following is a DFT calculation (PBE-GGA) of a relaxed YTl2IrO8 crystal.

Cell lengths 5.109, 5.050, 6.736 Å; angles 90.00, 90.00, 91.61 degrees
Element x y z (fractional)
Y 0.000 0.000 0.500
Tl 0.500 0.500 0.751
Tl 0.500 0.500 0.249
Ir 0.000 0.000 0.000
O 0.165 0.810 0.211
O 0.711 0.740 0.000
O 0.835 0.190 0.211
O 0.835 0.190 0.789
O 0.289 0.260 0.000
O 0.165 0.810 0.789
O 0.680 0.710 0.500
O 0.320 0.290 0.500

Output
ΔE_f (raw): -1.100 eV per atom
Space-group type: P2/m

***

# 20
The following is a DFT calculation (PBE-GGA) of a relaxed AgPd5Au3 crystal.

Cell lengths 7.652, 7.652, 7.839 Å; angles 119.21, 119.21, 90.00 degrees
Element x y z (fractional)
Ag 0.750 0.250 0.500
Ag 0.250 0.750 0.500
Pd 0.065 0.565 0.725
Pd 0.660 0.160 0.725
Pd 0.160 0.065 0.725
Pd 0.565 0.660 0.725
Pd 0.935 0.435 0.275
Pd 0.340 0.840 0.275
Pd 0.840 0.935 0.275
Pd 0.435 0.340 0.275
Pd 0.500 0.500 0.000
Pd 0.000 0.000 0.000
Au 0.615 0.115 0.000
Au 0.385 0.885 0.000
Au 0.885 0.615 0.000
Au 0.115 0.385 0.000
Au 0.250 0.250 0.500
Au 0.750 0.750 0.500

Output
Energy of formation: 0.346 eV per atom
Space-group type: I4/mcm

***

Number 1: VASP energy -9.418 eV per atom, size of the total moment 5.9 μB per cell. Number 2: VASP energy -4.126 eV per atom, size of the total moment 0.0 μB per cell. Number 3: VASP energy -2.691 eV per atom, size of the total moment 0.0 μB per cell. Number 4: VASP energy -5.382 eV per atom, size of the total moment 1.0 μB per cell. Number 5: VASP energy -5.999 eV per atom, size of the total moment 0.0 μB per cell. Number 6: VASP energy -1.901 eV per atom, size of the total moment 0.0 μB per cell. Number 7: VASP energy -10.148 eV per atom, size of the total moment 0.0 μB per cell. Number 8: VASP energy -4.364 eV per atom, size of the total moment 0.0 μB per cell. Number 9: VASP energy -3.140 eV per atom, size of the total moment 0.0 μB per cell. Number 10: VASP energy -1.610 eV per atom, size of the total moment 0.0 μB per cell. Number 11: VASP energy -4.412 eV per atom, size of the total moment 0.1 μB per cell. Number 12: VASP energy -2.098 eV per atom, size of the total moment 0.0 μB per cell. Number 13: VASP energy -4.307 eV per atom, size of the total moment 15.0 μB per cell. Number 14: VASP energy -5.147 eV per atom, size of the total moment 2.5 μB per cell. Number 15: VASP energy -2.815 eV per atom, size of the total moment 0.0 μB per cell. Number 16: VASP energy -4.110 eV per atom, size of the total moment 0.0 μB per cell. Number 17: VASP energy -4.800 eV per atom, size of the total moment 0.0 μB per cell. Number 18: VASP energy -3.875 eV per atom, size of the total moment 2.9 μB per cell. Number 19: VASP energy -6.077 eV per atom, size of the total moment 1.7 μB per cell. Number 20: VASP energy -3.948 eV per atom, size of the total moment 0.0 μB per cell.